First-principles (PBE) data for an optimized crystal structure of Te2SeBr, as listed in Alexandria.

Polymorph energy (0 for the lowest one)   228 meV/atom
DOS(E_F)   2.19 states/eV per cell
Density   4.863 g/cm³
Raw total energy   -2.693 eV/atom

The structure in CIF format:
```
data_Te2SeBr
_space_group_name_H-M_alt 'P 1'
_space_group_IT_number 1
_cell_length_a 4.651
_cell_length_b 4.651
_cell_length_c 8.835
_cell_angle_alpha 90.00
_cell_angle_beta 90.00
_cell_angle_gamma 132.29
loop_
_space_group_symop_operation_xyz
'x,y,z'
loop_
_atom_site_label
_atom_site_fract_x
_atom_site_fract_y
_atom_site_fract_z
Br1 0.500 0.500 0.250
Se1 0.500 0.500 0.750
Te1 0.000 0.000 0.982
Te2 0.000 0.000 0.518
```


First-principles (PBE) data for an optimized crystal structure of B5C7, as listed in Alexandria.

Polymorph energy (0 for the lowest one)   59 meV/atom
E_form   0.317 eV/atom
DOS(E_F)   1.17 states/eV per cell
Density   2.861 g/cm³
Raw total energy   -7.845 eV/atom

The structure in CIF format:
```
data_B5C7
_space_group_name_H-M_alt 'P 1'
_space_group_IT_number 1
_cell_length_a 6.382
_cell_length_b 6.382
_cell_length_c 4.962
_cell_angle_alpha 101.74
_cell_angle_beta 101.74
_cell_angle_gamma 23.92
loop_
_space_group_symop_operation_xyz
'x,y,z'
loop_
_atom_site_label
_atom_site_fract_x
_atom_site_fract_y
_atom_site_fract_z
B1 0.015 0.015 0.019
B2 0.353 0.353 0.111
B3 0.230 0.230 0.411
B4 0.008 0.008 0.510
B5 0.893 0.893 0.675
C1 0.918 0.918 0.198
C2 0.663 0.663 0.334
C3 0.592 0.592 0.554
C4 0.326 0.326 0.675
C5 0.241 0.241 0.878
C6 0.667 0.667 0.839
C7 0.594 0.594 0.046
```


First-principles (PBE) data for an optimized crystal structure of LuPu3N, as listed in Alexandria.

DOS(E_F)   16.65 states/eV per cell
Density   13.270 g/cm³
Raw total energy   -11.465 eV/atom

The structure in CIF format:
```
data_LuPu3N
_space_group_name_H-M_alt 'P 1'
_space_group_IT_number 1
_cell_length_a 4.866
_cell_length_b 4.866
_cell_length_c 4.866
_cell_angle_alpha 90.00
_cell_angle_beta 90.00
_cell_angle_gamma 90.00
loop_
_space_group_symop_operation_xyz
'x,y,z'
loop_
_atom_site_label
_atom_site_fract_x
_atom_site_fract_y
_atom_site_fract_z
N1 0.000 0.000 0.000
Lu1 0.500 0.500 0.500
Pu1 0.000 0.500 0.000
Pu2 0.000 0.000 0.500
Pu3 0.500 0.000 0.000
```


First-principles (PBE) data for an optimized crystal structure of Ac2PmAs, as listed in Alexandria.

Polymorph energy (0 for the lowest one)   0 meV/atom
E_form   -0.507 eV/atom
DOS(E_F)   6.27 states/eV per cell
Density   7.211 g/cm³
Raw total energy   -4.911 eV/atom

The structure in CIF format:
```
data_Ac2PmAs
_space_group_name_H-M_alt 'P 1'
_space_group_IT_number 1
_cell_length_a 4.191
_cell_length_b 4.191
_cell_length_c 10.485
_cell_angle_alpha 78.47
_cell_angle_beta 78.47
_cell_angle_gamma 60.00
loop_
_space_group_symop_operation_xyz
'x,y,z'
loop_
_atom_site_label
_atom_site_fract_x
_atom_site_fract_y
_atom_site_fract_z
Ac1 0.769 0.769 0.692
Ac2 0.231 0.231 0.308
As1 0.500 0.500 0.500
Pm1 0.000 0.000 0.000
```


First-principles (PBE) data for an optimized crystal structure of Mn2ReTc, as listed in Alexandria.

E_form   0.084 eV/atom
DOS(E_F)   3.56 states/eV per cell
Density   12.511 g/cm³
Raw total energy   -10.204 eV/atom

The structure in CIF format:
```
data_Mn2ReTc
_space_group_name_H-M_alt 'P 1'
_space_group_IT_number 1
_cell_length_a 4.543
_cell_length_b 4.543
_cell_length_c 2.662
_cell_angle_alpha 90.00
_cell_angle_beta 90.00
_cell_angle_gamma 107.87
loop_
_space_group_symop_operation_xyz
'x,y,z'
loop_
_atom_site_label
_atom_site_fract_x
_atom_site_fract_y
_atom_site_fract_z
Mn1 0.000 0.000 0.000
Mn2 0.500 0.500 0.000
Re1 0.500 0.000 0.500
Tc1 0.000 0.500 0.500
```


First-principles (PBE) data for an optimized crystal structure of ScSb2TeCl, as listed in Alexandria.

Polymorph energy (0 for the lowest one)   454 meV/atom
DOS(E_F)   4.00 states/eV per cell
Density   5.070 g/cm³
Raw total energy   -3.505 eV/atom

The structure in CIF format:
```
data_ScSb2TeCl
_space_group_name_H-M_alt 'P 1'
_space_group_IT_number 1
_cell_length_a 5.213
_cell_length_b 5.213
_cell_length_c 5.441
_cell_angle_alpha 90.00
_cell_angle_beta 90.00
_cell_angle_gamma 90.00
loop_
_space_group_symop_operation_xyz
'x,y,z'
loop_
_atom_site_label
_atom_site_fract_x
_atom_site_fract_y
_atom_site_fract_z
Sc1 0.500 0.500 0.500
Sb1 0.000 0.500 0.000
Sb2 0.500 0.000 0.000
Te1 0.000 0.000 0.500
Cl1 0.000 0.000 0.000
```


First-principles (PBE) data for an optimized crystal structure of BaLi2PRh, as listed in Alexandria.

Polymorph energy (0 for the lowest one)   57 meV/atom
E_form   -0.446 eV/atom
DOS(E_F)   1.96 states/eV per cell
Density   4.493 g/cm³
Raw total energy   -4.148 eV/atom

The structure in CIF format:
```
data_BaLi2PRh
_space_group_name_H-M_alt 'P 1'
_space_group_IT_number 1
_cell_length_a 4.772
_cell_length_b 4.772
_cell_length_c 4.627
_cell_angle_alpha 90.00
_cell_angle_beta 90.00
_cell_angle_gamma 90.00
loop_
_space_group_symop_operation_xyz
'x,y,z'
loop_
_atom_site_label
_atom_site_fract_x
_atom_site_fract_y
_atom_site_fract_z
P1 0.000 0.000 0.000
Rh1 0.000 0.000 0.500
Ba1 0.500 0.500 0.500
Li1 0.000 0.500 0.000
Li2 0.500 0.000 0.000
```


First-principles (PBE) data for an optimized crystal structure of PmPt2Au, as listed in Alexandria.

Polymorph energy (0 for the lowest one)   153 meV/atom
E_form   -0.646 eV/atom
DOS(E_F)   2.24 states/eV per cell
Density   15.314 g/cm³
Raw total energy   -5.674 eV/atom

The structure in CIF format:
```
data_PmPt2Au
_space_group_name_H-M_alt 'P 1'
_space_group_IT_number 1
_cell_length_a 3.666
_cell_length_b 3.666
_cell_length_c 5.909
_cell_angle_alpha 90.00
_cell_angle_beta 90.00
_cell_angle_gamma 90.00
loop_
_space_group_symop_operation_xyz
'x,y,z'
loop_
_atom_site_label
_atom_site_fract_x
_atom_site_fract_y
_atom_site_fract_z
Au1 0.500 0.500 0.500
Pt1 0.000 0.000 0.739
Pt2 0.000 0.000 0.261
Pm1 0.500 0.500 0.000
```


First-principles (PBE) data for an optimized crystal structure of KBa3, as listed in Alexandria.

Polymorph energy (0 for the lowest one)   36 meV/atom
E_form   0.082 eV/atom
DOS(E_F)   5.79 states/eV per cell
Density   2.831 g/cm³
Raw total energy   -1.634 eV/atom

The structure in CIF format:
```
data_KBa3
_space_group_name_H-M_alt 'P 1'
_space_group_IT_number 1
_cell_length_a 8.757
_cell_length_b 8.757
_cell_length_c 8.757
_cell_angle_alpha 150.50
_cell_angle_beta 126.16
_cell_angle_gamma 62.59
loop_
_space_group_symop_operation_xyz
'x,y,z'
loop_
_atom_site_label
_atom_site_fract_x
_atom_site_fract_y
_atom_site_fract_z
K1 0.673 0.000 0.673
Ba1 0.743 0.750 0.993
Ba2 0.244 0.250 0.993
Ba3 0.173 0.500 0.673
```


First-principles (PBE) data for an optimized crystal structure of TlSi3Te, as listed in Alexandria.

Polymorph energy (0 for the lowest one)   0 meV/atom
DOS(E_F)   3.77 states/eV per cell
Density   4.685 g/cm³
Raw total energy   -3.168 eV/atom

The structure in CIF format:
```
data_TlSi3Te
_space_group_name_H-M_alt 'P 1'
_space_group_IT_number 1
_cell_length_a 5.284
_cell_length_b 5.284
_cell_length_c 5.284
_cell_angle_alpha 90.00
_cell_angle_beta 90.00
_cell_angle_gamma 90.00
loop_
_space_group_symop_operation_xyz
'x,y,z'
loop_
_atom_site_label
_atom_site_fract_x
_atom_site_fract_y
_atom_site_fract_z
Tl1 0.500 0.500 0.500
Te1 0.000 0.000 0.000
Si1 0.000 0.500 0.000
Si2 0.000 0.000 0.500
Si3 0.500 0.000 0.000
```


First-principles (PBE) data for an optimized crystal structure of Mg2AlB, as listed in Alexandria.

Polymorph energy (0 for the lowest one)   40 meV/atom
E_form   0.151 eV/atom
DOS(E_F)   2.13 states/eV per cell
Density   2.149 g/cm³
Raw total energy   -3.252 eV/atom

The structure in CIF format:
```
data_Mg2AlB
_space_group_name_H-M_alt 'P 1'
_space_group_IT_number 1
_cell_length_a 4.728
_cell_length_b 5.589
_cell_length_c 5.680
_cell_angle_alpha 76.46
_cell_angle_beta 81.63
_cell_angle_gamma 66.43
loop_
_space_group_symop_operation_xyz
'x,y,z'
loop_
_atom_site_label
_atom_site_fract_x
_atom_site_fract_y
_atom_site_fract_z
Mg1 0.066 0.463 0.740
Mg2 0.934 0.537 0.260
Mg3 0.369 0.795 0.941
Mg4 0.631 0.205 0.059
B1 0.438 0.503 0.365
B2 0.562 0.497 0.635
Al1 0.704 0.088 0.571
Al2 0.296 0.912 0.429
```


First-principles (PBE) data for an optimized crystal structure of ScTc2Au2, as listed in Alexandria.

Polymorph energy (0 for the lowest one)   0 meV/atom
E_form   -0.038 eV/atom
DOS(E_F)   5.37 states/eV per cell
Density   11.601 g/cm³
Raw total energy   -6.761 eV/atom

The structure in CIF format:
```
data_ScTc2Au2
_space_group_name_H-M_alt 'P 1'
_space_group_IT_number 1
_cell_length_a 3.589
_cell_length_b 3.589
_cell_length_c 7.496
_cell_angle_alpha 76.15
_cell_angle_beta 76.15
_cell_angle_gamma 90.00
loop_
_space_group_symop_operation_xyz
'x,y,z'
loop_
_atom_site_label
_atom_site_fract_x
_atom_site_fract_y
_atom_site_fract_z
Sc1 0.000 0.000 0.000
Au1 0.404 0.404 0.193
Au2 0.596 0.596 0.807
Tc1 0.750 0.250 0.500
Tc2 0.250 0.750 0.500
```


First-principles (PBE) data for an optimized crystal structure of RbNaGaF2, as listed in Alexandria.

DOS(E_F)   1.82 states/eV per cell
Density   2.293 g/cm³
Raw total energy   -2.834 eV/atom

The structure in CIF format:
```
data_RbNaGaF2
_space_group_name_H-M_alt 'P 1'
_space_group_IT_number 1
_cell_length_a 5.138
_cell_length_b 5.932
_cell_length_c 5.138
_cell_angle_alpha 90.00
_cell_angle_beta 90.00
_cell_angle_gamma 90.00
loop_
_space_group_symop_operation_xyz
'x,y,z'
loop_
_atom_site_label
_atom_site_fract_x
_atom_site_fract_y
_atom_site_fract_z
Na1 0.500 0.500 0.500
Ga1 0.000 0.500 0.000
Rb1 0.000 0.000 0.000
F1 0.000 0.000 0.500
F2 0.500 0.000 0.000
```


First-principles (PBE) data for an optimized crystal structure of Co2Tc, as listed in Alexandria.

Polymorph energy (0 for the lowest one)   100 meV/atom
E_form   0.093 eV/atom
DOS(E_F)   6.99 states/eV per cell
Density   9.974 g/cm³
Raw total energy   -8.100 eV/atom

The structure in CIF format:
```
data_Co2Tc
_space_group_name_H-M_alt 'P 1'
_space_group_IT_number 1
_cell_length_a 4.855
_cell_length_b 4.855
_cell_length_c 6.072
_cell_angle_alpha 76.80
_cell_angle_beta 76.80
_cell_angle_gamma 31.13
loop_
_space_group_symop_operation_xyz
'x,y,z'
loop_
_atom_site_label
_atom_site_fract_x
_atom_site_fract_y
_atom_site_fract_z
Co1 0.000 0.000 0.003
Co2 0.610 0.610 0.276
Co3 0.329 0.329 0.335
Co4 0.670 0.670 0.664
Tc1 0.950 0.950 0.604
Tc2 0.274 0.274 0.952
```


First-principles (PBE) data for an optimized crystal structure of AlH2PbO2F3, as listed in Alexandria.

DOS(E_F)   0.00 states/eV per cell
Density   5.213 g/cm³
Raw total energy   -5.565 eV/atom

The structure in CIF format:
```
data_AlH2PbO2F3
_space_group_name_H-M_alt 'P 1'
_space_group_IT_number 1
_cell_length_a 5.047
_cell_length_b 6.454
_cell_length_c 6.935
_cell_angle_alpha 104.98
_cell_angle_beta 90.60
_cell_angle_gamma 107.48
loop_
_space_group_symop_operation_xyz
'x,y,z'
loop_
_atom_site_label
_atom_site_fract_x
_atom_site_fract_y
_atom_site_fract_z
Al1 0.160 0.188 0.673
Al2 0.840 0.812 0.327
H1 0.727 0.178 0.470
H2 0.273 0.822 0.530
H3 0.727 0.146 0.857
H4 0.273 0.854 0.143
Pb1 0.799 0.695 0.807
Pb2 0.201 0.305 0.193
O1 0.895 0.130 0.447
O2 0.105 0.870 0.553
O3 0.900 0.104 0.858
O4 0.100 0.896 0.142
F1 0.431 0.216 0.865
F2 0.569 0.784 0.135
F3 0.443 0.262 0.512
F4 0.557 0.738 0.488
F5 0.178 0.483 0.764
F6 0.822 0.517 0.236
```


First-principles (PBE) data for an optimized crystal structure of Pm5NdDyTm2, as listed in Alexandria.

E_form   0.149 eV/atom
DOS(E_F)   28.21 states/eV per cell
Density   7.417 g/cm³
Raw total energy   -4.525 eV/atom

The structure in CIF format:
```
data_Pm5NdDyTm2
_space_group_name_H-M_alt 'P 1'
_space_group_IT_number 1
_cell_length_a 5.642
_cell_length_b 10.523
_cell_length_c 10.722
_cell_angle_alpha 90.00
_cell_angle_beta 90.00
_cell_angle_gamma 105.55
loop_
_space_group_symop_operation_xyz
'x,y,z'
loop_
_atom_site_label
_atom_site_fract_x
_atom_site_fract_y
_atom_site_fract_z
Pm1 0.392 0.784 0.025
Pm2 0.718 0.437 0.808
Pm3 0.479 0.958 0.741
Pm4 0.297 0.595 0.704
Pm5 0.983 0.967 0.523
Pm6 0.608 0.216 0.525
Pm7 0.282 0.563 0.308
Pm8 0.521 0.042 0.241
Pm9 0.703 0.405 0.204
Pm10 0.017 0.033 0.023
Nd1 0.798 0.597 0.510
Nd2 0.202 0.403 0.010
Dy1 0.588 0.177 0.956
Dy2 0.412 0.823 0.456
Tm1 0.884 0.768 0.818
Tm2 0.110 0.220 0.739
Tm3 0.116 0.232 0.318
Tm4 0.890 0.780 0.239
```


First-principles (PBE) data for an optimized crystal structure of MnNbTe2, as listed in Alexandria.

Polymorph energy (0 for the lowest one)   629 meV/atom
DOS(E_F)   5.35 states/eV per cell
Density   8.997 g/cm³
Raw total energy   -6.084 eV/atom

The structure in CIF format:
```
data_MnNbTe2
_space_group_name_H-M_alt 'P 1'
_space_group_IT_number 1
_cell_length_a 4.721
_cell_length_b 4.721
_cell_length_c 4.721
_cell_angle_alpha 60.00
_cell_angle_beta 60.00
_cell_angle_gamma 60.00
loop_
_space_group_symop_operation_xyz
'x,y,z'
loop_
_atom_site_label
_atom_site_fract_x
_atom_site_fract_y
_atom_site_fract_z
Nb1 0.500 0.500 0.500
Te1 0.250 0.250 0.250
Te2 0.750 0.750 0.750
Mn1 0.000 0.000 0.000
```


First-principles (PBE) data for an optimized crystal structure of AcEr2Tc, as listed in Alexandria.

Polymorph energy (0 for the lowest one)   0 meV/atom
E_form   0.029 eV/atom
DOS(E_F)   7.79 states/eV per cell
Density   9.486 g/cm³
Raw total energy   -5.871 eV/atom

The structure in CIF format:
```
data_AcEr2Tc
_space_group_name_H-M_alt 'P 1'
_space_group_IT_number 1
_cell_length_a 3.512
_cell_length_b 3.512
_cell_length_c 9.361
_cell_angle_alpha 90.00
_cell_angle_beta 90.00
_cell_angle_gamma 90.00
loop_
_space_group_symop_operation_xyz
'x,y,z'
loop_
_atom_site_label
_atom_site_fract_x
_atom_site_fract_y
_atom_site_fract_z
Ac1 0.500 0.500 0.500
Tc1 0.500 0.500 0.000
Er1 0.000 0.000 0.829
Er2 0.000 0.000 0.171
```


First-principles (PBE) data for an optimized crystal structure of TiInH2, as listed in Alexandria.

Polymorph energy (0 for the lowest one)   470 meV/atom
DOS(E_F)   2.64 states/eV per cell
Density   6.111 g/cm³
Raw total energy   -3.851 eV/atom

The structure in CIF format:
```
data_TiInH2
_space_group_name_H-M_alt 'P 1'
_space_group_IT_number 1
_cell_length_a 3.985
_cell_length_b 3.985
_cell_length_c 3.985
_cell_angle_alpha 60.00
_cell_angle_beta 60.00
_cell_angle_gamma 60.00
loop_
_space_group_symop_operation_xyz
'x,y,z'
loop_
_atom_site_label
_atom_site_fract_x
_atom_site_fract_y
_atom_site_fract_z
H1 0.250 0.250 0.250
H2 0.750 0.750 0.750
Ti1 0.000 0.000 0.000
In1 0.500 0.500 0.500
```


First-principles (PBE) data for an optimized crystal structure of Ti3AlPd4, as listed in Alexandria.

Polymorph energy (0 for the lowest one)   0 meV/atom
E_form   -0.599 eV/atom
DOS(E_F)   16.23 states/eV per cell
Density   7.977 g/cm³
Raw total energy   -6.623 eV/atom

The structure in CIF format:
```
data_Ti3AlPd4
_space_group_name_H-M_alt 'P 1'
_space_group_IT_number 1
_cell_length_a 4.744
_cell_length_b 5.702
_cell_length_c 9.178
_cell_angle_alpha 90.00
_cell_angle_beta 90.00
_cell_angle_gamma 90.00
loop_
_space_group_symop_operation_xyz
'x,y,z'
loop_
_atom_site_label
_atom_site_fract_x
_atom_site_fract_y
_atom_site_fract_z
Al1 0.000 0.500 0.000
Al2 0.000 0.500 0.500
Pd1 0.500 0.749 0.000
Pd2 0.500 0.749 0.500
Pd3 0.500 0.251 0.000
Pd4 0.500 0.251 0.500
Pd5 0.108 0.749 0.750
Pd6 0.892 0.749 0.250
Pd7 0.892 0.251 0.250
Pd8 0.108 0.251 0.750
Ti1 0.000 0.000 0.000
Ti2 0.000 0.000 0.500
Ti3 0.596 0.000 0.750
Ti4 0.404 0.000 0.250
Ti5 0.599 0.500 0.750
Ti6 0.401 0.500 0.250
```